A plane-wave DFT calculation with PBEsol was carried out for an optimized crystal structure of Zr2Sc.

Cell and atoms, written as POSCAR:
```
Zr2Sc
1.0
-3.0066 4.0705 0.3438
-3.3396 -2.7566 3.4320
4.2360 2.9558 2.0482
Zr Sc
4 2
Direct
0.7500 0.4938 0.6616
0.7500 0.8321 0.3384
0.2500 0.5062 0.3384
0.2500 0.1679 0.6616
0.7500 0.1700 0.0000
0.2500 0.8300 0.0000
```

Properties
Crystal system: orthorhombic
Calculated formation energy (eV/atom): -0.019
Space group: Cmcm (63)


A plane-wave DFT calculation with PBEsol was carried out for an optimized crystal structure of Ni2SbTe2.

Cell and atoms, written as POSCAR:
```
Ni2SbTe2
1.0
3.8835 0.0000 0.0000
-1.9418 3.3632 0.0000
0.0000 0.0000 15.3374
Ni Te Sb
4 4 2
Direct
0.0000 0.0000 0.8347
0.0000 0.0000 0.3347
0.0000 0.0000 0.6653
0.0000 0.0000 0.1653
0.6667 0.3333 0.4135
0.3333 0.6667 0.9135
0.3333 0.6667 0.5865
0.6667 0.3333 0.0865
0.6667 0.3333 0.7500
0.3333 0.6667 0.2500
```

Properties
Formation energy without anion corrections (eV per atom): -0.307
Crystal system: hexagonal
Space group: P6_3/mmc (194)


A plane-wave DFT calculation with PBEsol was carried out for an optimized crystal structure of BeRe2.

Cell and atoms, written as POSCAR:
```
BeRe2
1.0
4.5664 0.0000 0.0000
2.2832 3.9699 0.0000
2.2832 0.0000 3.9699
Re Be
4 2
Direct
0.1628 0.5000 0.1744
0.8372 0.5000 0.8256
0.3372 0.8256 0.5000
0.6628 0.1744 0.5000
0.2500 0.0000 0.0000
0.7500 0.0000 0.0000
```

Properties
Excess energy over the best structure of this formula in the dataset (meV/atom): 0
Crystal system: tetragonal
Calculated formation energy (eV/atom): -0.260
Space group: I4/mcm (140)


A plane-wave DFT calculation with PBEsol was carried out for an optimized crystal structure of LaTc2As2.

Cell and atoms, written as POSCAR:
```
LaTc2As2
1.0
4.2636 0.0000 0.0000
0.0000 4.2636 0.0000
-2.1318 -2.1318 5.1261
As Tc La
2 2 1
Direct
0.3649 0.3649 0.7298
0.6351 0.6351 0.2702
0.2500 0.7500 0.5000
0.7500 0.2500 0.5000
0.0000 0.0000 0.0000
```

Properties
Crystal system: tetragonal
Calculated formation energy (eV/atom): -0.643
Space group: I4/mmm (139)


A plane-wave DFT calculation with PBEsol was carried out for an optimized crystal structure of ScP2Br.

Cell and atoms, written as POSCAR:
```
ScP2Br
1.0
3.8147 0.0000 0.0000
0.0000 3.8147 0.0000
-1.9074 -1.9074 10.5831
Br P Sc
2 4 2
Direct
0.0000 0.0000 0.0000
0.2500 0.7500 0.5000
0.1250 0.5376 0.7500
0.6250 0.2124 0.7500
0.4624 0.3750 0.2500
0.7876 0.8750 0.2500
0.7500 0.2500 0.5000
0.5000 0.5000 0.0000
```

Properties
Formation energy without anion corrections (eV per atom): -0.462
Excess energy over the best structure of this formula in the dataset (meV/atom): 287
Crystal system: tetragonal
Space group: I-42d (122)


A plane-wave DFT calculation with PBEsol was carried out for an optimized crystal structure of Ta4Mo3.

Cell and atoms, written as POSCAR:
```
Ta4Mo3
1.0
-1.3724 2.4312 0.3459
-1.4152 -2.1247 1.1819
9.0091 2.2367 12.6512
Ta Mo
4 3
Direct
0.9291 0.9291 0.8582
0.7878 0.7878 0.5757
0.2122 0.2122 0.4243
0.0709 0.0709 0.1418
0.5000 0.5000 0.0000
0.3582 0.3582 0.7164
0.6418 0.6418 0.2836
```

Properties
Excess energy over the best structure of this formula in the dataset (meV/atom): 47
Crystal system: orthorhombic
Calculated formation energy (eV/atom): -0.087
Space group: Fmmm (69)


A plane-wave DFT calculation with PBEsol was carried out for an optimized crystal structure of Mg2TlCr.

Cell and atoms, written as POSCAR:
```
Mg2TlCr
1.0
-2.8688 1.4417 -0.8901
-1.3422 -0.3837 3.7040
2.3498 5.5572 1.4272
Mg Tl Cr
2 1 1
Direct
0.0002 0.0000 0.7354
0.9998 0.0000 0.2646
0.5000 0.5000 0.0000
0.5000 0.5000 0.5000
```

Properties
Excess energy over the best structure of this formula in the dataset (meV/atom): 0
Crystal system: orthorhombic
Calculated formation energy (eV/atom): 0.314
Space group: Pmmm (47)


A plane-wave DFT calculation with PBEsol was carried out for an optimized crystal structure of MgI2NF.

Cell and atoms, written as POSCAR:
```
MgI2NF
1.0
-1.4148 -0.6955 3.1387
5.7658 0.5025 2.7103
-0.9858 6.2441 0.9394
I Mg N F
2 1 1 1
Direct
0.0000 0.5000 0.0000
0.0000 0.0000 0.5000
0.5000 0.0000 0.0000
0.5000 0.5000 0.5000
0.0000 0.0000 0.0000
```

Properties
Formation energy without anion corrections (eV per atom): 0.061
Excess energy over the best structure of this formula in the dataset (meV/atom): 0
Crystal system: tetragonal
Space group: P4/mmm (123)


A plane-wave DFT calculation with PBEsol was carried out for an optimized crystal structure of TcMo2Ru2.

Cell and atoms, written as POSCAR:
```
TcMo2Ru2
1.0
3.6995 0.0000 0.0000
0.0000 3.6995 0.0000
-1.8498 -1.8498 5.7681
Tc Ru Mo
1 2 2
Direct
0.0000 0.0000 0.0000
0.4007 0.4007 0.8014
0.5993 0.5993 0.1986
0.2500 0.7500 0.5000
0.7500 0.2500 0.5000
```

Properties
Crystal system: tetragonal
Calculated formation energy (eV/atom): 0.805
Space group: I4/mmm (139)


A plane-wave DFT calculation with PBEsol was carried out for an optimized crystal structure of Ba3MnNb2O9.

Cell and atoms, written as POSCAR:
```
Ba3MnNb2O9
1.0
-2.6672 -4.4454 -2.6379
-0.2556 0.5247 5.7873
-5.9406 3.9316 -0.6188
Ba O Mn Nb
3 9 1 2
Direct
0.0000 0.0000 0.0000
0.6667 0.3333 0.3342
0.3333 0.6667 0.6658
0.3427 0.1714 0.6761
0.0000 0.5000 0.0000
0.8286 0.6573 0.6761
0.8286 0.1714 0.6761
0.5000 0.0000 0.0000
0.6573 0.8286 0.3239
0.1714 0.3427 0.3239
0.1714 0.8286 0.3239
0.5000 0.5000 0.0000
0.0000 0.0000 0.5000
0.3333 0.6667 0.1760
0.6667 0.3333 0.8240
```

Properties
Formation energy without anion corrections (eV per atom): -2.683
Crystal system: trigonal
Space group: P-3m1 (164)


A plane-wave DFT calculation with PBEsol was carried out for an optimized crystal structure of Li2HfSiS.

Cell and atoms, written as POSCAR:
```
Li2HfSiS
1.0
4.8384 0.0000 0.0000
0.0000 5.4290 0.0000
0.0000 0.0000 5.4290
Li S Hf Si
2 1 1 1
Direct
0.0000 0.0000 0.5000
0.0000 0.5000 0.0000
0.5000 0.5000 0.5000
0.0000 0.0000 0.0000
0.5000 0.0000 0.0000
```

Properties
Formation energy without anion corrections (eV per atom): 1.270
Crystal system: tetragonal
Space group: P4/mmm (123)


A plane-wave DFT calculation with PBEsol was carried out for an optimized crystal structure of HfTe3Ir.

Cell and atoms, written as POSCAR:
```
HfTe3Ir
1.0
5.1148 0.0000 0.0000
0.0000 5.1148 0.0000
0.0000 0.0000 5.1148
Te Hf Ir
3 1 1
Direct
0.5000 0.0000 0.0000
0.0000 0.0000 0.5000
0.0000 0.5000 0.0000
0.5000 0.5000 0.5000
0.0000 0.0000 0.0000
```

Properties
Formation energy without anion corrections (eV per atom): 0.601
Crystal system: cubic
Space group: Pm-3m (221)


no.,total magnetization (μB per formula unit)
1,0.00
2,0.00
3,0.00
4,0.00
5,0.00
6,0.00
7,4.06
8,2.96
9,0.00
10,5.00
11,0.00
12,0.00